# Tb2H16S3O20

A relaxed Tb2H16S3O20 crystal (PBE, the Alexandria database).

```
82
Lattice="6.7753 -3.3811 0.0000 6.7753 3.3811 0.0000 -4.0247 0.0000 17.9060" Properties=species:S:1:pos:R:3 pbc="T T T"
Tb 0.7065 0.1583 7.0352
Tb -1.3058 -0.1583 15.9882
Tb 10.8317 0.1583 1.9178
Tb 8.8194 -0.1583 10.8708
H 4.6554 2.7318 6.2933
H 6.8829 2.7318 2.6596
H 2.7800 2.1755 17.1076
H 4.7336 2.1755 9.7513
H 2.0814 0.1451 4.3886
H 0.8764 0.9979 17.5945
H 0.0691 -0.1451 13.3416
H 6.0202 1.3942 2.8672
H 3.1291 0.5653 8.8412
H 1.2481 0.2193 14.3673
H 5.5180 1.3942 6.0858
H 4.2264 1.1647 10.8582
H 3.2872 1.1647 16.0008
H 3.2604 -0.2193 5.4143
H 1.1168 -0.5653 17.7942
H 6.6372 0.9979 9.2645
H 2.8887 -0.9979 8.6415
H 8.4091 0.5653 0.1118
H 6.2655 0.2193 12.4917
H 6.2387 -1.1647 1.9052
H 5.2996 -1.1647 7.0478
H 4.0079 -1.3942 11.8202
H 8.2778 -0.2193 3.5387
H 6.3968 -0.5653 9.0648
H 3.5057 -1.3942 15.0388
H 9.4569 0.1451 4.5644
H 8.6495 -0.9979 0.3115
H 7.4445 -0.1451 13.5173
H 4.7924 -2.1755 8.1546
H 6.7459 -2.1755 0.7984
H 2.6431 -2.7318 15.2463
H 4.8705 -2.7318 11.6126
S 2.5658 0.1998 1.6202
S 0.5535 -0.1998 10.5732
S 3.7568 1.1579 13.4295
S 5.7691 -1.1579 4.4765
S 8.9724 0.1998 7.3328
S 6.9601 -0.1998 16.2858
O 1.8666 0.5443 0.3138
O 1.1675 1.1333 10.4036
O 2.7533 2.0150 12.7541
O 3.6208 1.2089 1.8788
O 1.5673 0.2053 2.7097
O 5.9838 2.3223 2.5315
O 5.5545 2.3223 6.4215
O -0.4450 -0.2053 11.6626
O 3.9240 1.7354 10.0963
O -0.1457 -0.5443 9.2668
O 0.2856 0.0093 14.2970
O 2.2979 -0.0093 5.3440
O 3.5896 1.7354 16.7627
O 4.7603 2.0150 14.1049
O 0.7799 0.1158 17.1618
O 2.7923 -0.1158 8.2088
O 3.0698 0.3052 14.4522
O 3.1798 -1.1333 1.4506
O 1.6085 -1.2089 10.8318
O 4.4438 0.3052 12.4068
O 5.0821 -0.3052 5.4992
O 7.9175 1.2089 7.0742
O 6.3461 1.1333 16.4554
O 6.4561 -0.3052 3.4538
O 6.7337 0.1158 9.6971
O 8.7460 -0.1158 0.7441
O 4.7656 -2.0150 3.8011
O 5.9364 -1.7354 1.1433
O 7.2280 0.0093 12.5620
O 9.2403 -0.0093 3.6090
O 9.6716 0.5443 8.6391
O 5.6019 -1.7354 7.8097
O 9.9710 0.2053 6.2433
O 3.9715 -2.3223 11.4845
O 3.5421 -2.3223 15.3745
O 7.9586 -0.2053 15.1963
O 5.9051 -1.2089 16.0272
O 6.7726 -2.0150 5.1519
O 8.3584 -1.1333 7.5024
O 7.6593 -0.5443 17.5921
```

- Total magnetic moment: 0.00 μB per atom

***

# Na2H20CO13

A relaxed Na2H20CO13 crystal (PBE, the Alexandria database).

```
72
Lattice="6.3693 -4.4174 0.0000 6.3693 4.4174 0.0000 -5.3597 0.0000 11.4148" Properties=species:S:1:pos:R:3 pbc="T T T"
Na 3.6894 4.1335 5.7074
Na 8.0680 0.3196 2.7605
Na 5.3881 -0.3196 8.4679
Na 6.3693 -4.1335 0.0000
H 0.4455 0.9828 2.8081
H 1.7036 2.3663 4.4282
H 3.7022 2.8044 1.5592
H -1.7574 1.1565 9.0694
H 2.6579 1.9290 2.3765
H 1.9144 3.3900 8.8523
H 1.1123 2.3622 9.6926
H 5.2122 1.8430 0.5715
H -0.3216 0.1793 7.4186
H 0.4557 0.2054 6.0379
H 5.8563 2.5651 1.8401
H -2.2344 -0.9828 8.5155
H 2.3582 -0.1793 1.7112
H 3.1356 -0.2054 0.3305
H 3.3306 2.2014 7.9138
H 0.9224 -1.1565 3.3621
H 6.1939 2.3263 4.0211
H 4.7076 1.1977 4.9541
H 8.4380 2.2581 0.6358
H 5.5651 1.9256 6.0786
H 2.7520 0.2453 7.0732
H 2.3783 0.3858 8.6198
H 2.3471 1.0308 11.3200
H 5.4318 -0.2453 1.3658
H -0.0220 -1.9290 8.0839
H 5.0581 -0.3858 2.9124
H -0.9763 -2.3663 10.1356
H 4.5195 1.1269 11.0538
H 2.5324 -1.8430 6.2789
H 1.0224 -2.8044 7.2666
H 2.0277 -1.1977 10.6615
H 3.7922 -2.3622 3.9852
H 5.0270 -1.0308 5.6126
H 6.0105 -2.2014 2.2064
H 3.1764 -2.5651 7.5474
H 4.5943 -3.3900 3.1449
H 8.2450 -1.9256 0.3712
H 7.1994 -1.1269 5.3464
H 3.5140 -2.3263 9.7285
H 5.7581 -2.2581 6.3432
C 0.0321 0.0556 10.1435
C 2.7120 -0.0556 4.4361
O 1.1001 3.3074 9.4297
O 5.2879 2.7215 1.0288
O -0.4012 0.4711 6.4752
O 3.3600 3.2058 7.9482
O 2.0808 0.4616 3.4119
O 2.2787 -0.4711 0.7678
O -0.5990 0.2679 11.2531
O -0.5991 -0.4616 9.1193
O 5.0721 2.0781 5.2153
O 6.8265 2.4055 3.2389
O 2.0809 -0.2679 5.5457
O 1.2932 0.3697 10.0338
O 3.1077 0.5314 7.9575
O 3.9731 -0.3697 4.3264
O 8.4366 1.2612 0.5387
O 6.4204 1.6769 7.5279
O 5.7875 -0.5314 2.2501
O 5.3380 1.1347 10.4723
O 2.6080 -2.7215 6.7362
O 3.7799 -3.3074 3.7223
O 5.7568 -1.2612 6.2461
O 2.3922 -2.0781 10.9227
O 6.0399 -3.2058 2.2408
O 4.1466 -2.4055 8.9462
O 8.0179 -1.1347 4.7649
O 9.1002 -1.6769 1.8205
```

- Total magnetic moment: 0.00 μB per atom

***

# CuAg3

A relaxed CuAg3 crystal (PBE, the Alexandria database).

```
8
Lattice="5.1608 0.0000 0.0000 0.0000 5.1608 0.0000 0.0000 0.0000 5.1608" Properties=species:S:1:pos:R:3 pbc="T T T"
Cu 0.0000 0.0000 0.0000
Cu 2.5804 2.5804 2.5804
Ag 0.0000 1.2902 2.5804
Ag 0.0000 3.8706 2.5804
Ag 1.2902 2.5804 0.0000
Ag 2.5804 0.0000 1.2902
Ag 2.5804 0.0000 3.8706
Ag 3.8706 2.5804 0.0000
```

- E_form: 0.198 eV/atom
- Total magnetic moment: 0.00 μB per atom

***

# SmHf2FeN4

A relaxed SmHf2FeN4 crystal (PBE, the Alexandria database).

```
16
Lattice="1.6145 -5.4866 0.0000 1.6145 5.4866 0.0000 0.0000 0.0000 11.0448" Properties=species:S:1:pos:R:3 pbc="T T T"
Sm 1.6145 4.3103 8.2836
Sm 1.6145 -4.3103 2.7612
Hf 1.6145 1.4545 6.0930
Hf 1.6145 1.4545 10.4741
Hf 1.6145 -1.4545 0.5707
Hf 1.6145 -1.4545 4.9517
Fe 1.6145 3.7805 2.7612
Fe 1.6145 -3.7805 8.2836
N 0.0000 0.0000 0.0000
N 0.0000 0.0000 5.5224
N 1.6145 2.5627 1.2530
N 1.6145 2.5627 4.2694
N 1.6145 0.6532 8.2836
N 1.6145 -0.6532 2.7612
N 1.6145 -2.5627 6.7753
N 1.6145 -2.5627 9.7918
```

- ΔE_f (raw): -1337 meV per atom
- Total magnetic moment: 0.23 μB per atom

***

# NdY3Bi3

A relaxed NdY3Bi3 crystal (PBE, the Alexandria database).

```
28
Lattice="9.4837 0.0000 0.0000 0.0000 9.4837 0.0000 0.0000 0.0000 9.4837" Properties=species:S:1:pos:R:3 pbc="T T T"
Nd 0.6648 4.0771 5.4066
Nd 4.0771 5.4066 0.6648
Nd 5.4066 0.6648 4.0771
Nd 8.8189 8.8189 8.8189
Y 0.7340 5.4759 8.7496
Y 1.6885 7.7952 3.0534
Y 1.7009 1.7009 1.7009
Y 3.0409 7.7828 6.4427
Y 3.0534 1.6885 7.7952
Y 4.0078 4.0078 4.0078
Y 5.4759 8.7496 0.7340
Y 6.4303 6.4303 6.4303
Y 6.4427 3.0409 7.7828
Y 7.7828 6.4427 3.0409
Y 7.7952 3.0534 1.6885
Y 8.7496 0.7340 5.4759
Bi 0.0148 2.4329 8.3288
Bi 1.1548 4.7566 2.3089
Bi 2.3089 1.1548 4.7566
Bi 2.4329 8.3288 0.0148
Bi 3.5870 4.7270 7.0507
Bi 4.7270 7.0507 3.5870
Bi 4.7566 2.3089 1.1548
Bi 5.8967 9.4689 7.1748
Bi 7.0507 3.5870 4.7270
Bi 7.1748 5.8967 9.4689
Bi 8.3288 0.0148 2.4329
Bi 9.4689 7.1748 5.8967
```

- Energy above the lowest structure with this stoichiometry: 0 meV/atom
- E_form: -0.781 eV/atom
- Total magnetic moment: 0.00 μB per atom

***

# K2NaSn2

A relaxed K2NaSn2 crystal (PBE, the Alexandria database).

```
10
Lattice="8.6616 0.0000 0.0000 0.0000 8.6616 0.0000 0.0000 0.0000 5.4046" Properties=species:S:1:pos:R:3 pbc="T T T"
K 1.5544 2.7763 0.0000
K 2.7763 7.1071 0.0000
K 5.8852 1.5544 0.0000
K 7.1071 5.8852 0.0000
Na 0.0000 0.0000 2.7023
Na 4.3308 4.3308 2.7023
Sn 0.9709 5.3017 2.7023
Sn 3.3599 0.9709 2.7023
Sn 5.3017 7.6906 2.7023
Sn 7.6906 3.3599 2.7023
```

- Energy above the lowest structure with this stoichiometry: 34 meV/atom
- E_form: -0.098 eV/atom
- Total magnetic moment: 0.00 μB per atom

***

# Sr2BiMoPb

A relaxed Sr2BiMoPb crystal (PBE, the Alexandria database).

```
5
Lattice="6.2727 0.0000 0.0000 0.0000 6.2727 0.0000 0.0000 0.0000 6.0201" Properties=species:S:1:pos:R:3 pbc="T T T"
Sr 0.0000 3.1363 0.0000
Sr 3.1363 0.0000 0.0000
Bi 0.0000 0.0000 0.0000
Mo 3.1363 3.1363 3.0101
Pb 0.0000 0.0000 3.0101
```

- E_form: 0.876 eV/atom
- Total magnetic moment: 0.88 μB per atom

***

# B2BrN

A relaxed B2BrN crystal (PBE, the Alexandria database).

```
4
Lattice="0.0000 2.7705 2.7705 2.7705 0.0000 2.7705 2.7705 2.7705 0.0000" Properties=species:S:1:pos:R:3 pbc="T T T"
B 1.3852 1.3852 1.3852
B 4.1557 4.1557 4.1557
Br 0.0000 0.0000 0.0000
N 2.7705 2.7705 2.7705
```

- Energy above the lowest structure with this stoichiometry: 1949 meV/atom
- ΔE_f (raw): 2812 meV per atom
- Total magnetic moment: 0.00 μB per atom

***

Total DFT energy (no corrections)? In order: -5.771; -5.152; -2.964; -9.636; -5.896; -2.402; -3.481; -3.026 eV per atom.